Entry 1:
Here is an optimized crystal structure of LaPb6 from the Alexandria database. Energies are from PBE.

Properties
As for the space-group type: Im-3m, No. 229. As for the total energy: -3.383 eV/atom. The value obtained for the energy relative to the elements is 0.500 eV per atom.

Unit cell a=7.3775 b=7.3775 c=7.3775 alpha=109.47 beta=109.47 gamma=109.47
Closest atoms and distances in Å follow each position.
Element x y z (fractional)
1 Pb 0.7500 0.5000 0.2500  4 Pb 3.01
2 Pb 0.2500 0.7500 0.5000  4 Pb 3.01
3 Pb 0.2500 0.5000 0.7500  4 Pb 3.01
4 Pb 0.5000 0.7500 0.2500  4 Pb 3.01
5 Pb 0.7500 0.2500 0.5000  4 Pb 3.01
6 Pb 0.5000 0.2500 0.7500  4 Pb 3.01
7 La 0.0000 0.0000 0.0000  24 Pb 4.76

***

Entry 2:
Here is an optimized crystal structure of LaPb2 from the Alexandria database. Energies are from PBE.

Properties
As for the space-group type: P6_3/mmc, No. 194. As for the total energy: -4.505 eV/atom. The value obtained for the energy relative to the elements is -0.391 eV per atom.

Unit cell a=5.7206 b=5.7206 c=6.7769 alpha=90.00 beta=90.00 gamma=120.00
Closest atoms and distances in Å follow each position.
Element x y z (fractional)
1 Pb 0.0000 0.0000 0.0000  8 Pb 3.39-3.71, 6 La 3.71
2 Pb 0.6667 0.3333 0.7500  5 La 3.30-3.39
3 La 0.6667 0.3333 0.2500  5 Pb 3.30-3.39
4 Pb 0.3333 0.6667 0.2500  5 La 3.30-3.39
5 La 0.3333 0.6667 0.7500  5 Pb 3.30-3.39
6 Pb 0.0000 0.0000 0.5000  8 Pb 3.39-3.71, 6 La 3.71

***

Question: Number 1 is which compound?
Answer: LaPb6

***

Question: Among the records above, which one has the lowest energy relative to the elements?
Answer: LaPb2

***

Question: Which of these has the highest energy relative to the elements?
Answer: LaPb6